(1)
This record from the Alexandria database describes a relaxed CaSbMo2 crystal. The functional is PBE.

Its volume is 22.41 Å³/atom. The raw total energy is -26.6 eV/cell. As for the formation energy without anion corrections: 0.2973 eV/atom.

Geometry as POSCAR:
```
CaSbMo2
1.0
-5.156 0.508 -1.309
-4.920 0.312 2.061
-0.630 5.288 0.353
Sb Mo Ca
1 2 1
Direct
0.750 0.750 0.750 Sb
0.012 0.012 0.908 Mo
0.488 0.488 0.592 Mo
0.250 0.250 0.250 Ca
```

---

(2)
This record from the Alexandria database describes a relaxed Ca2SbMo crystal. The functional is PBE.

Its volume is 23.55 Å³/atom. The raw total energy is -18.1 eV/cell. As for the formation energy without anion corrections: 0.2181 eV/atom.

Geometry as POSCAR:
```
Ca2SbMo
1.0
5.107 0.000 0.000
2.554 4.423 0.000
2.554 1.474 4.170
Sb Mo Ca
1 1 2
Direct
0.750 0.750 0.750 Sb
0.500 0.500 0.500 Mo
0.000 0.000 0.000 Ca
0.250 0.250 0.250 Ca
```

---

(3)
This record from the Alexandria database describes a relaxed CaSbMo2 crystal. The functional is PBE.

Its volume is 19.44 Å³/atom. The raw total energy is -25.9 eV/cell. As for the formation energy without anion corrections: 0.4636 eV/atom.

Geometry as POSCAR:
```
CaSbMo2
1.0
-1.436 3.785 -2.190
-3.873 -1.363 0.185
-0.496 1.900 3.611
Sb Mo Ca
1 2 1
Direct
0.500 0.500 0.000 Sb
0.000 0.000 0.000 Mo
0.000 0.500 0.500 Mo
0.500 0.000 0.500 Ca
```

---

(4)
This record from the Alexandria database describes a relaxed Ca2SbMo crystal. The functional is PBE.

Its volume is 25.60 Å³/atom. The raw total energy is -18.1 eV/cell. As for the formation energy without anion corrections: 0.2075 eV/atom.

Geometry as POSCAR:
```
Ca2SbMo
1.0
4.299 0.000 0.000
0.000 3.689 -0.002
0.000 3.690 6.455
Sb Mo Ca
1 1 2
Direct
0.500 0.750 0.750 Sb
0.500 0.250 0.250 Mo
0.000 0.999 0.002 Ca
0.000 0.501 0.498 Ca
```

---

(5)
This record from the Alexandria database describes a relaxed CaSbMo2 crystal. The functional is PBE.

Its volume is 20.15 Å³/atom. The raw total energy is -26.5 eV/cell. As for the formation energy without anion corrections: 0.3180 eV/atom.

Geometry as POSCAR:
```
CaSbMo2
1.0
5.208 -0.311 -0.152
1.775 4.906 0.152
-3.129 -2.849 3.056
Sb Mo Ca
1 2 1
Direct
0.509 0.509 0.000 Sb
0.972 0.972 0.000 Mo
0.785 0.285 0.500 Mo
0.234 0.734 0.500 Ca
```

---

(6)
This record from the Alexandria database describes a relaxed CaSbMo2 crystal. The functional is PBE.

Its volume is 18.98 Å³/atom. The raw total energy is -26.6 eV/cell. As for the formation energy without anion corrections: 0.3032 eV/atom.

Geometry as POSCAR:
```
CaSbMo2
1.0
-2.581 -3.987 0.171
-1.039 -2.332 -4.009
2.043 -4.195 -0.907
Sb Mo Ca
1 2 1
Direct
0.750 0.750 0.750 Sb
0.000 0.000 0.000 Mo
0.250 0.250 0.250 Mo
0.500 0.500 0.500 Ca
```

---

(7)
This record from the Alexandria database describes a relaxed CaSbMo2 crystal. The functional is PBE.

Its volume is 19.58 Å³/atom. The raw total energy is -25.4 eV/cell. As for the formation energy without anion corrections: 0.5849 eV/atom.

Geometry as POSCAR:
```
CaSbMo2
1.0
-4.301 -3.498 1.454
4.629 -2.388 -1.592
0.859 -0.913 2.662
Sb Mo Ca
1 2 1
Direct
0.500 0.500 0.000 Sb
0.000 0.000 0.000 Mo
0.000 0.500 0.500 Mo
0.500 0.000 0.500 Ca
```

---

(8)
This record from the Alexandria database describes a relaxed CaSbMo2 crystal. The functional is PBE.

Its volume is 20.41 Å³/atom. The raw total energy is -25.0 eV/cell. As for the formation energy without anion corrections: 0.6990 eV/atom.

Geometry as POSCAR:
```
CaSbMo2
1.0
-1.239 -2.464 1.241
-0.470 -0.122 -2.985
8.096 -4.620 -1.087
Sb Mo Ca
1 2 1
Direct
0.500 0.500 0.250 Sb
0.000 0.000 0.026 Mo
0.000 0.000 0.474 Mo
0.500 0.500 0.750 Ca
```

---

(9)
This record from the Alexandria database describes a relaxed Ca2SbMo crystal. The functional is PBE.

Its volume is 23.89 Å³/atom. The raw total energy is -18.0 eV/cell. As for the formation energy without anion corrections: 0.2464 eV/atom.

Geometry as POSCAR:
```
Ca2SbMo
1.0
7.087 0.008 0.028
-2.862 5.008 -0.007
1.363 0.783 2.697
Sb Mo Ca
1 1 2
Direct
0.500 0.500 0.000 Sb
0.000 0.500 0.500 Mo
0.000 0.000 0.000 Ca
0.500 0.000 0.500 Ca
```

---

(10)
This record from the Alexandria database describes a relaxed CaSbMo2 crystal. The functional is PBE.

Its volume is 20.96 Å³/atom. The raw total energy is -26.5 eV/cell. As for the formation energy without anion corrections: 0.3108 eV/atom.

Geometry as POSCAR:
```
CaSbMo2
1.0
4.455 0.000 0.000
0.000 3.398 0.003
0.000 1.309 5.539
Sb Mo Ca
1 2 1
Direct
0.000 0.349 0.499 Sb
0.000 0.015 0.097 Mo
0.500 0.374 0.197 Mo
0.500 0.762 0.707 Ca
```

---

(11)
This record from the Alexandria database describes a relaxed CaSbMo3 crystal. The functional is PBE.

As for the polymorph energy (0 for the lowest one): 0 meV/atom. Its volume is 24.86 Å³/atom. The raw total energy is -30.8 eV/cell. As for the formation energy without anion corrections: 1.5543 eV/atom.

Geometry as POSCAR:
```
CaSbMo3
1.0
4.990 0.000 0.000
0.000 4.990 0.000
0.000 0.000 4.990
Sb Mo Ca
1 3 1
Direct
0.000 0.000 0.000 Sb
0.000 0.500 0.000 Mo
0.000 0.000 0.500 Mo
0.500 0.000 0.000 Mo
0.500 0.500 0.500 Ca
```

---

(12)
This record from the Alexandria database describes a relaxed CaSbMo2 crystal. The functional is PBE.

Its volume is 19.72 Å³/atom. The raw total energy is -25.7 eV/cell. As for the formation energy without anion corrections: 0.5133 eV/atom.

Geometry as POSCAR:
```
CaSbMo2
1.0
5.550 -0.001 0.000
2.553 4.928 0.000
-4.051 -2.463 2.884
Sb Mo Ca
1 2 1
Direct
0.250 0.750 0.500 Sb
0.000 0.000 0.000 Mo
0.500 0.500 0.000 Mo
0.750 0.250 0.500 Ca
```